Crystalline MgZrTlCo at its relaxed geometry, computed with PBE-GGA.

Its volume is 17.701 Å³ per atom. Its density is 8.88 g/cm3. For the raw total energy, the calculation gives -4.85 eV/atom. The total magnetization is 0.000 μB per atom.

It has space group F-43m (No. 216), with a = 6.567 Å, b = 6.567 Å, c = 6.567 Å, α = 90.00°, β = 90.00° and γ = 90.00°. Symmetry generates all atoms from Mg at (0.000, 0.000, 0.000), Zr at (0.250, 0.250, 0.750), Tl at (0.250, 0.250, 0.250) and Co at (0.000, 0.000, 0.500).